# 1
First-principles (PBE) data for an optimized crystal structure of Pr3NdEr4, as listed in the Alexandria database.

Cell: 11.589 7.336 6.300 Å, 90.00 90.00 90.00°
Positions (direct):
1 Pr 0.000 0.129 0.000
2 Pr 0.249 0.129 0.340
3 Pr 0.251 0.871 0.840
4 Pr 0.500 0.871 0.500
5 Pr 0.749 0.871 0.840
6 Pr 0.751 0.129 0.340
7 Nd 0.000 0.870 0.502
8 Nd 0.500 0.130 0.002
9 Er 0.000 0.381 0.503
10 Er 0.000 0.620 0.005
11 Er 0.250 0.381 0.837
12 Er 0.250 0.619 0.337
13 Er 0.500 0.380 0.505
14 Er 0.500 0.619 0.003
15 Er 0.750 0.381 0.837
16 Er 0.750 0.619 0.337

Summary:
Magnetic moment in μB per formula unit: 0.001
Energy relative to the lowest polymorph listed for this composition in meV/atom: 7
DFT total energy in eV per atom: -4.639
DFT formation energy in eV/atom: 0.030



# 2
First-principles (PBE) data for an optimized crystal structure of GdTcMo, as listed in the Alexandria database.

Cell: 6.002 6.002 6.002 Å, 148.93 148.93 44.52°
Positions (direct):
1 Gd 0.000 0.000 0.000
2 Tc 0.688 0.688 0.000
3 Mo 0.307 0.307 0.000

Summary:
Magnetic moment in μB per formula unit: 7.127
DFT total energy in eV per atom: -11.656
DFT formation energy in eV/atom: 0.103



# 3
First-principles (PBE) data for an optimized crystal structure of Dy2Y3Sc4, as listed in the Alexandria database.

Cell: 9.704 9.704 5.842 Å, 95.46 95.46 70.17°
Positions (direct):
1 Dy 0.002 0.225 0.280
2 Dy 0.225 0.002 0.780
3 Dy 0.775 0.998 0.220
4 Dy 0.998 0.775 0.720
5 Y 0.155 0.845 0.250
6 Y 0.199 0.476 0.407
7 Y 0.476 0.199 0.907
8 Y 0.524 0.801 0.093
9 Y 0.801 0.524 0.593
10 Y 0.845 0.155 0.750
11 Sc 0.112 0.360 0.861
12 Sc 0.332 0.552 0.946
13 Sc 0.360 0.112 0.361
14 Sc 0.448 0.668 0.554
15 Sc 0.552 0.332 0.446
16 Sc 0.640 0.888 0.639
17 Sc 0.668 0.448 0.054
18 Sc 0.888 0.640 0.139

Summary:
Magnetic moment in μB per formula unit: 0.000
Energy relative to the lowest polymorph listed for this composition in meV/atom: 0
DFT total energy in eV per atom: -5.875
DFT formation energy in eV/atom: 0.116



# 4
First-principles (PBE) data for an optimized crystal structure of InTe2W, as listed in the Alexandria database.

Cell: 3.318 3.318 9.350 Å, 90.00 90.00 90.00°
Positions (direct):
1 In 0.000 0.000 0.000
2 Te 0.500 0.500 0.322
3 Te 0.500 0.500 0.678
4 W 0.000 0.000 0.500

Summary:
Formation energy without anion corrections in meV per atom: 221
Magnetic moment in μB per formula unit: 0.000
DFT total energy in eV per atom: -5.273



# 5
First-principles (PBE) data for an optimized crystal structure of Dy6Sb3C, as listed in the Alexandria database.

Cell: 9.222 9.222 7.106 Å, 90.00 90.00 99.86°
Positions (direct):
1 Dy 0.044 0.956 0.500
2 Dy 0.105 0.591 0.506
3 Dy 0.225 0.775 0.959
4 Dy 0.308 0.376 0.975
5 Dy 0.376 0.308 0.475
6 Dy 0.409 0.895 0.506
7 Dy 0.591 0.105 0.006
8 Dy 0.624 0.692 0.975
9 Dy 0.692 0.624 0.475
10 Dy 0.775 0.225 0.459
11 Dy 0.895 0.409 0.006
12 Dy 0.956 0.044 0.000
13 Sb 0.074 0.276 0.684
14 Sb 0.276 0.074 0.184
15 Sb 0.389 0.611 0.275
16 Sb 0.611 0.389 0.775
17 Sb 0.724 0.926 0.684
18 Sb 0.926 0.724 0.184
19 C 0.187 0.813 0.646
20 C 0.813 0.187 0.146

Summary:
Formation energy without anion corrections in meV per atom: -596
Magnetic moment in μB per formula unit: 1.544
DFT total energy in eV per atom: -5.517



# 6
First-principles (PBE) data for an optimized crystal structure of CsCaNb, as listed in the Alexandria database.

Cell: 5.205 7.028 7.055 Å, 73.32 68.56 68.55°
Positions (direct):
1 Cs 0.129 0.124 0.122
2 Cs 0.871 0.876 0.878
3 Ca 0.500 0.000 0.500
4 Ca 0.500 0.500 0.000
5 Nb 0.204 0.515 0.511
6 Nb 0.796 0.485 0.489

Summary:
Magnetic moment in μB per formula unit: 0.000
Energy relative to the lowest polymorph listed for this composition in meV/atom: 594
DFT total energy in eV per atom: -3.315
DFT formation energy in eV/atom: 0.994



# 7
First-principles (PBE) data for an optimized crystal structure of K2Nb2Se5, as listed in the Alexandria database.

Cell: 8.122 8.122 8.144 Å, 99.40 99.40 35.09°
Positions (direct):
1 K 0.060 0.060 0.300
2 K 0.940 0.940 0.700
3 Nb 0.357 0.357 0.099
4 Nb 0.643 0.643 0.901
5 Se 0.184 0.184 0.998
6 Se 0.385 0.385 0.394
7 Se 0.500 0.500 0.000
8 Se 0.615 0.615 0.606
9 Se 0.816 0.816 0.002

Summary:
Formation energy without anion corrections in meV per atom: -834
Magnetic moment in μB per formula unit: 0.000
DFT total energy in eV per atom: -5.251



# 8
First-principles (PBE) data for an optimized crystal structure of CaTbPr4, as listed in the Alexandria database.

Cell: 9.847 9.847 3.607 Å, 100.43 100.43 39.80°
Positions (direct):
1 Ca 0.000 0.000 0.000
2 Tb 0.819 0.819 0.319
3 Pr 0.330 0.330 0.831
4 Pr 0.426 0.906 0.667
5 Pr 0.491 0.491 0.489
6 Pr 0.906 0.426 0.667

Summary:
Magnetic moment in μB per formula unit: 0.000
Energy relative to the lowest polymorph listed for this composition in meV/atom: 140
DFT total energy in eV per atom: -4.118
DFT formation energy in eV/atom: 0.174